## Zr3ScRe (PBE)

Data for a geometry-optimized Zr3ScRe structure.

Space-group type: Pm-3m, No. 221
Polymorph energy (0 for the lowest one), eV per formula unit: 5.91
Density, g/cm³: 7.431
Total moment, μB per formula unit: 0.00
Crystal system: cubic

POSCAR file:
```
Zr3ScRe
1.0
4.832 0.000 0.000
0.000 4.832 0.000
0.000 0.000 4.832
Sc Zr Re
1 3 1
Cartesian
0.000 0.000 0.000
0.000 0.000 2.416
0.000 2.416 0.000
2.416 0.000 0.000
2.416 2.416 2.416
```

=====

## ZrScRe3 (PBE)

Data for a geometry-optimized ZrScRe3 structure.

Space-group type: Pm-3m, No. 221
Polymorph energy (0 for the lowest one), eV per formula unit: 0.00
Density, g/cm³: 11.855
Total moment, μB per formula unit: 0.00
Crystal system: cubic

POSCAR file:
```
ZrScRe3
1.0
-1.153 -3.926 2.102
3.934 -1.915 -1.418
2.085 1.442 3.838
Re Zr Sc
3 1 1
Cartesian
-0.577 -1.963 1.051
1.967 -0.958 -0.709
1.043 0.721 1.919
2.433 -2.199 2.261
0.000 0.000 0.000
```

=====

## ZrSc2Re (PBE)

Data for a geometry-optimized ZrSc2Re structure.

Space-group type: Pm, No. 6
Polymorph energy (0 for the lowest one), eV per formula unit: 0.44
Density, g/cm³: 7.546
Total moment, μB per formula unit: 0.00
Crystal system: monoclinic

POSCAR file:
```
ZrSc2Re
1.0
4.559 0.000 0.000
0.000 3.080 0.000
0.000 1.364 5.756
Zr Sc Re
1 2 1
Cartesian
0.000 2.479 3.028
0.000 4.214 5.625
2.280 1.114 1.450
2.280 3.304 4.285
```

=====

The records above give, respectively, formation enthalpy at 0 K values of 1.635, 1.788, 0.023 eV/atom.